First-principles (PBE-GGA) data for a geometry-optimized Nd8Ho2Cd structure, as listed in Alexandria.

Calculated values
SG	C2/m
offset from the most stable computed form	5	meV per atom
energy relative to the elements	-0.02	eV per atom
crystal system	monoclinic
total energy	-48.4	eV per cell

a b c (Å): 5.105 6.269 12.813
angles (deg): 77.05 90.00 114.03
Element x y z (fractional)
Nd 0.860 0.719 0.453
Nd 0.756 0.511 0.088
Nd 0.140 0.281 0.547
Nd 0.963 0.926 0.822
Nd 0.037 0.074 0.178
Nd 0.244 0.489 0.912
Nd 0.410 0.820 0.640
Nd 0.590 0.180 0.360
Cd 0.500 0.000 0.000
Ho 0.685 0.371 0.738
Ho 0.315 0.629 0.262